Entry 1:
The following is a DFT calculation (PBE-GGA) of crystalline YAu2Se at its relaxed geometry.

Its space-group type is P4/mmm, No. 123. The electronic total energy is -0.35163 Ry per atom. Its uncorrected formation energy is -0.66 eV per atom.

abc: 3.980 3.980 5.583
angles: 90.00 90.00 90.00
Atoms (fractional coordinates):
Y1 0.000 0.000 0.000
Au1 0.500 0.500 0.249
Au2 0.500 0.500 0.751
Se1 0.000 0.000 0.500


Entry 2:
The following is a DFT calculation (PBE-GGA) of crystalline YAuSe at its relaxed geometry.

Its space-group type is I4mm, No. 107. The polymorph energy (0 for the lowest one) comes out at 0.164 eV/atom. The electronic total energy is -0.39897 Ry per atom. Its uncorrected formation energy is -1.02 eV per atom.

abc: 5.486 5.486 5.486
angles: 139.97 139.97 57.89
Atoms (fractional coordinates):
Y1 0.000 0.000 0.000
Au1 0.669 0.669 0.000
Se1 0.352 0.352 0.000


Entry 3:
The following is a DFT calculation (PBE-GGA) of crystalline YAu2Se at its relaxed geometry.

Its space-group type is Pm, No. 6. The electronic total energy is -0.36240 Ry per atom. Its uncorrected formation energy is -0.80 eV per atom.

abc: 3.770 3.779 6.598
angles: 90.00 106.39 90.00
Atoms (fractional coordinates):
Y1 0.000 0.000 0.000
Au1 0.228 0.000 0.455
Au2 0.656 0.500 0.311
Se1 0.416 0.500 0.830


Entry 4:
The following is a DFT calculation (PBE-GGA) of crystalline YAu2Se2 at its relaxed geometry.

Its space-group type is I4/mmm, No. 139. The electronic total energy is -0.34043 Ry per atom. Its uncorrected formation energy is -0.63 eV per atom.

abc: 8.432 8.432 8.432
angles: 153.92 153.92 37.21
Atoms (fractional coordinates):
Y1 0.000 0.000 0.000
Au1 0.250 0.750 0.500
Au2 0.750 0.250 0.500
Se1 0.411 0.411 0.000
Se2 0.589 0.589 0.000


Entry 5:
The following is a DFT calculation (PBE-GGA) of crystalline Y2AuSe at its relaxed geometry.

Its space-group type is Pmmm, No. 47. The electronic total energy is -0.44121 Ry per atom. Its uncorrected formation energy is -1.08 eV per atom.

abc: 3.586 3.608 7.197
angles: 90.00 90.00 90.00
Atoms (fractional coordinates):
Y1 0.000 0.000 0.249
Y2 0.000 0.000 0.751
Au1 0.500 0.500 0.000
Se1 0.500 0.500 0.500


Entry 6:
The following is a DFT calculation (PBE-GGA) of crystalline Y4AuSe3 at its relaxed geometry.

Its space-group type is Cmmm, No. 65. The electronic total energy is -0.47695 Ry per atom. Its uncorrected formation energy is -1.54 eV per atom.

abc: 7.211 7.211 4.032
angles: 90.00 90.00 108.59
Atoms (fractional coordinates):
Y1 0.247 0.247 0.500
Y2 0.249 0.751 0.000
Y3 0.751 0.249 0.000
Y4 0.753 0.753 0.500
Au1 0.000 0.000 0.000
Se1 0.000 0.500 0.500
Se2 0.500 0.000 0.500
Se3 0.500 0.500 0.000


Entry 7:
The following is a DFT calculation (PBE-GGA) of crystalline Y6AuSe5 at its relaxed geometry.

Its space-group type is C2/m, No. 12. The electronic total energy is -0.48493 Ry per atom. Its uncorrected formation energy is -1.64 eV per atom.

abc: 7.129 7.129 7.122
angles: 99.61 99.61 119.99
Atoms (fractional coordinates):
Y1 0.081 0.412 0.746
Y2 0.247 0.247 0.251
Y3 0.412 0.081 0.746
Y4 0.588 0.919 0.254
Y5 0.753 0.753 0.749
Y6 0.919 0.588 0.254
Au1 0.000 0.000 0.500
Se1 0.170 0.830 0.000
Se2 0.335 0.665 0.500
Se3 0.500 0.500 0.000
Se4 0.665 0.335 0.500
Se5 0.830 0.170 0.000


Entry 8:
The following is a DFT calculation (PBE-GGA) of crystalline YAuSe at its relaxed geometry.

Its space-group type is P3m1, No. 156. The polymorph energy (0 for the lowest one) comes out at 0.083 eV/atom. The electronic total energy is -0.40494 Ry per atom. Its uncorrected formation energy is -1.10 eV per atom.

abc: 4.117 4.117 5.281
angles: 90.00 90.00 120.00
Atoms (fractional coordinates):
Y1 0.000 0.000 0.000
Au1 0.667 0.333 0.338
Se1 0.333 0.667 0.701


Entry 9:
The following is a DFT calculation (PBE-GGA) of crystalline Y2AuSe at its relaxed geometry.

Its space-group type is R3m, No. 160. The electronic total energy is -0.45092 Ry per atom. Its uncorrected formation energy is -1.21 eV per atom.

abc: 7.929 7.929 7.929
angles: 28.86 28.86 28.86
Atoms (fractional coordinates):
Y1 0.000 0.000 0.000
Y2 0.170 0.170 0.170
Au1 0.584 0.584 0.584
Se1 0.753 0.753 0.753


Entry 10:
The following is a DFT calculation (PBE-GGA) of crystalline YAu2Se at its relaxed geometry.

Its space-group type is R-3m, No. 166. The electronic total energy is -0.34017 Ry per atom. Its uncorrected formation energy is -0.50 eV per atom.

abc: 6.236 6.236 6.236
angles: 40.95 40.95 40.95
Atoms (fractional coordinates):
Y1 0.000 0.000 0.000
Au1 0.242 0.242 0.242
Au2 0.758 0.758 0.758
Se1 0.500 0.500 0.500


Entry 11:
The following is a DFT calculation (PBE-GGA) of crystalline Y7AuSe5 at its relaxed geometry.

Its space-group type is Cmcm, No. 63. The electronic total energy is -0.48403 Ry per atom. Its uncorrected formation energy is -1.51 eV per atom.

abc: 6.971 6.971 24.384
angles: 90.00 90.00 146.28
Atoms (fractional coordinates):
Y1 0.036 0.964 0.750
Y2 0.138 0.862 0.037
Y3 0.138 0.862 0.463
Y4 0.307 0.693 0.679
Y5 0.307 0.693 0.821
Y6 0.411 0.589 0.113
Y7 0.411 0.589 0.387
Y8 0.589 0.411 0.613
Y9 0.589 0.411 0.887
Y10 0.693 0.307 0.179
Y11 0.693 0.307 0.321
Y12 0.862 0.138 0.537
Y13 0.862 0.138 0.963
Y14 0.964 0.036 0.250
Au1 0.300 0.700 0.250
Au2 0.700 0.300 0.750
Se1 0.052 0.948 0.143
Se2 0.052 0.948 0.357
Se3 0.223 0.777 0.571
Se4 0.223 0.777 0.929
Se5 0.500 0.500 0.000
Se6 0.500 0.500 0.500
Se7 0.777 0.223 0.071
Se8 0.777 0.223 0.429
Se9 0.948 0.052 0.643
Se10 0.948 0.052 0.857


Entry 12:
The following is a DFT calculation (PBE-GGA) of crystalline YAu2Se at its relaxed geometry.

Its space-group type is P4mm, No. 99. The electronic total energy is -0.36019 Ry per atom. Its uncorrected formation energy is -0.77 eV per atom.

abc: 3.774 3.774 6.786
angles: 90.00 90.00 90.00
Atoms (fractional coordinates):
Y1 0.000 0.000 0.000
Au1 0.000 0.000 0.415
Au2 0.500 0.500 0.309
Se1 0.500 0.500 0.839


Entry 13:
The following is a DFT calculation (PBE-GGA) of crystalline Y2AuSe at its relaxed geometry.

Its space-group type is Amm2, No. 38. The electronic total energy is -0.44614 Ry per atom. Its uncorrected formation energy is -1.15 eV per atom.

abc: 4.485 6.026 6.026
angles: 36.81 90.00 90.00
Atoms (fractional coordinates):
Y1 0.000 0.000 0.000
Y2 0.500 0.256 0.256
Au1 0.000 0.743 0.743
Se1 0.500 0.517 0.517


Entry 14:
The following is a DFT calculation (PBE-GGA) of crystalline YAuSe at its relaxed geometry.

Its space-group type is R-3m, No. 166. The polymorph energy (0 for the lowest one) comes out at 0.000 eV/atom. The electronic total energy is -0.41102 Ry per atom. Its uncorrected formation energy is -1.18 eV per atom.

abc: 8.443 8.443 8.443
angles: 32.12 32.12 32.12
Atoms (fractional coordinates):
Y1 0.083 0.083 0.083
Y2 0.917 0.917 0.917
Au1 0.336 0.336 0.336
Au2 0.664 0.664 0.664
Se1 0.210 0.210 0.210
Se2 0.790 0.790 0.790


Entry 15:
The following is a DFT calculation (PBE-GGA) of crystalline Y6Au2Se at its relaxed geometry.

Its space-group type is P2_1/c, No. 14. The electronic total energy is -0.45589 Ry per atom. Its uncorrected formation energy is -0.78 eV per atom.

abc: 6.614 7.403 11.996
angles: 90.00 120.67 90.00
Atoms (fractional coordinates):
Y1 0.092 0.198 0.434
Y2 0.092 0.302 0.934
Y3 0.261 0.665 0.431
Y4 0.261 0.835 0.931
Y5 0.393 0.034 0.241
Y6 0.393 0.466 0.741
Y7 0.607 0.534 0.259
Y8 0.607 0.966 0.759
Y9 0.739 0.165 0.069
Y10 0.739 0.335 0.569
Y11 0.908 0.698 0.066
Y12 0.908 0.802 0.566
Au1 0.170 0.114 0.735
Au2 0.170 0.386 0.235
Au3 0.830 0.614 0.765
Au4 0.830 0.886 0.265
Se1 0.500 0.000 0.500
Se2 0.500 0.500 0.000


Entry 16:
The following is a DFT calculation (PBE-GGA) of crystalline YAu2Se at its relaxed geometry.

Its space-group type is Cmmm, No. 65. The electronic total energy is -0.36279 Ry per atom. Its uncorrected formation energy is -0.81 eV per atom.

abc: 4.018 4.018 5.484
angles: 90.00 90.00 90.24
Atoms (fractional coordinates):
Y1 0.000 0.000 0.000
Au1 0.248 0.752 0.500
Au2 0.752 0.248 0.500
Se1 0.500 0.500 0.000


Entry 17:
The following is a DFT calculation (PBE-GGA) of crystalline Y5AuSe4 at its relaxed geometry.

Its space-group type is I4/m, No. 87. The electronic total energy is -0.48223 Ry per atom. Its uncorrected formation energy is -1.61 eV per atom.

abc: 7.124 7.124 7.124
angles: 99.71 99.71 131.51
Atoms (fractional coordinates):
Y1 0.000 0.000 0.000
Y2 0.202 0.601 0.803
Y3 0.399 0.202 0.601
Y4 0.601 0.798 0.399
Y5 0.798 0.399 0.197
Au1 0.500 0.500 0.000
Se1 0.097 0.303 0.401
Se2 0.303 0.903 0.206
Se3 0.697 0.097 0.794
Se4 0.903 0.697 0.599


Entry 18:
The following is a DFT calculation (PBE-GGA) of crystalline Y2AuSe at its relaxed geometry.

Its space-group type is P4/mmm, No. 123. The electronic total energy is -0.45351 Ry per atom. Its uncorrected formation energy is -1.25 eV per atom.

abc: 4.138 4.138 5.956
angles: 90.00 90.00 90.00
Atoms (fractional coordinates):
Y1 0.000 0.000 0.000
Y2 0.500 0.500 0.500
Au1 0.000 0.000 0.500
Se1 0.500 0.500 0.000


Entry 19:
The following is a DFT calculation (PBE-GGA) of crystalline YAuSe3 at its relaxed geometry.

Its space-group type is Pm-3m, No. 221. The polymorph energy (0 for the lowest one) comes out at 0.296 eV/atom. The electronic total energy is -0.29721 Ry per atom. Its uncorrected formation energy is 0.00 eV per atom.

abc: 5.455 5.455 5.455
angles: 90.00 90.00 90.00
Atoms (fractional coordinates):
Y1 0.000 0.000 0.000
Au1 0.500 0.500 0.500
Se1 0.000 0.000 0.500
Se2 0.000 0.500 0.000
Se3 0.500 0.000 0.000


Entry 20:
The following is a DFT calculation (PBE-GGA) of crystalline Y2AuSe at its relaxed geometry.

Its space-group type is F-43m, No. 216. The electronic total energy is -0.37745 Ry per atom. Its uncorrected formation energy is -0.21 eV per atom.

abc: 5.125 5.125 5.125
angles: 60.00 60.00 60.00
Atoms (fractional coordinates):
Y1 0.000 0.000 0.000
Y2 0.250 0.250 0.250
Au1 0.500 0.500 0.500
Se1 0.750 0.750 0.750